ScCrBr2 (PBE, relaxed); symmetry = No. 71; energy = -0.384 Ry/atom; uncorrected formation energy = -0.405 eV per atom; polymorph energy (0 for the lowest one) = 0.0942 eV/atom
1.0
-1.786 2.482 7.094
1.786 -2.482 7.094
1.786 2.482 -7.094
Sc Cr Br
1 1 2
direct
0.000 0.000 0.000 Sc
0.500 0.500 0.000 Cr
0.140 0.640 0.500 Br
0.860 0.360 0.500 Br